Entry 1:
{
  "formula": "LiVAgO4",
  "functional": "PBE+U",
  "state": "relaxed",
  "dos_ef_per_ev_fu": 3.2,
  "energy_ev_per_cell": -41.6,
  "lattice": [[5.369, 0.000, 0.000], [0.000, 5.369, 0.000], [-2.685, -2.685, 3.582]],
  "species": ["O", "O", "O", "O", "Ag", "V", "Li"],
  "frac_coords": [[0.908, 0.436, 0.221], [0.313, 0.785, 0.221], [0.564, 0.687, 0.779], [0.215, 0.092, 0.779], [0.000, 0.000, 0.000], [0.250, 0.750, 0.500], [0.500, 0.500, 0.000]]
}


Entry 2:
{
  "formula": "Li2VAgO4",
  "functional": "PBE+U",
  "state": "relaxed",
  "dos_ef_per_ev_fu": 0.2,
  "energy_ev_per_cell": -46.1,
  "lattice": [[-0.899, -2.313, -1.487], [-2.946, -2.675, 3.128], [-8.197, 0.677, 1.089]],
  "species": ["O", "O", "Ag", "O", "O", "Li", "Li", "V"],
  "frac_coords": [[0.622, 0.666, 0.090], [0.091, 0.068, 0.750], [0.500, 0.500, 0.500], [0.378, 0.334, 0.910], [0.909, 0.932, 0.250], [0.725, 0.730, 0.819], [0.275, 0.270, 0.181], [0.000, 0.000, 0.000]]
}


Q: Which formula does entry 2 have?
A: Li2VAgO4